# 1
The following is a DFT calculation (PBE) of crystalline Pm2Ga3Ni2 at its relaxed geometry.

Unit cell a=3.799 b=3.848 c=9.719 alpha=101.42 beta=90.00 gamma=90.00
Fractional positions:
Pm: 0.000 0.836 0.672
Pm: 0.000 0.164 0.328
Ga: 0.500 0.570 0.140
Ga: 0.500 0.430 0.860
Ga: 0.000 0.000 0.000
Ni: 0.500 0.707 0.414
Ni: 0.500 0.293 0.586

Values from the calculation:
M_tot in Bohr magnetons per cell: 0.0
Polymorph energy (0 for the lowest one) in eV per atom: 0.154
Crystal system: orthorhombic

# 2
The following is a DFT calculation (PBE) of crystalline Pm3Ga2Ni9 at its relaxed geometry.

Unit cell a=4.012 b=7.902 c=7.902 alpha=71.01 beta=75.29 gamma=75.29
Fractional positions:
Pm: 0.000 0.000 0.000
Pm: 0.697 0.303 0.303
Pm: 0.303 0.697 0.697
Ga: 0.500 0.279 0.721
Ga: 0.500 0.721 0.279
Ni: 0.000 0.500 0.500
Ni: 0.695 0.992 0.619
Ni: 0.305 0.008 0.381
Ni: 0.695 0.619 0.992
Ni: 0.305 0.381 0.008
Ni: 0.891 0.833 0.385
Ni: 0.109 0.167 0.615
Ni: 0.891 0.385 0.833
Ni: 0.109 0.615 0.167

Values from the calculation:
E_tot in Ha/atom: -0.2027
M_tot in Bohr magnetons per cell: 0.0
Crystal system: orthorhombic

What is the formula in the first record? Pm2Ga3Ni2